[1]
DFT (GGA-PBE) results for a relaxed structure of HoLuScPt.

Structure (POSCAR):
```
HoLuScPt
1.0
0.000 3.560 3.560
3.560 0.000 3.560
3.560 3.560 0.000
Ho Lu Sc Pt
1 1 1 1
Direct
0.000 0.000 0.000 Ho
0.500 0.500 0.500 Lu
0.750 0.750 0.750 Sc
0.250 0.250 0.250 Pt
```

Summary:
M_tot (μB per atom): 0.300
Crystal system: cubic
Electronic total energy (eV per atom): -5.78
Formation enthalpy at 0 K (eV/f.u.): -1.667
Symmetry: F-43m, No. 216
D(E_F) (states/eV per atom): 1.25


[2]
DFT (GGA-PBE) results for a relaxed structure of Na2ErSbTe4.

Structure (POSCAR):
```
Na2ErSbTe4
1.0
7.695 0.000 0.000
0.000 4.418 0.000
-2.554 0.000 7.557
Na Er Sb Te
2 1 1 4
Direct
0.000 0.000 0.000 Na
0.500 0.500 0.000 Na
0.000 0.500 0.500 Er
0.500 0.000 0.500 Sb
0.243 0.000 0.728 Te
0.255 0.500 0.270 Te
0.745 0.500 0.730 Te
0.757 0.000 0.272 Te
```

Summary:
M_tot (μB per atom): 0.000
Energy relative to the elements, uncorrected (meV per atom): -875.7
Crystal system: monoclinic
Electronic total energy (eV per atom): -3.86
Symmetry: P2/m, No. 10


[3]
DFT (GGA-PBE) results for a relaxed structure of CsTlBi2Rh.

Structure (POSCAR):
```
CsTlBi2Rh
1.0
5.541 0.000 0.000
0.000 5.541 0.000
0.000 0.000 5.534
Cs Tl Bi Rh
1 1 2 1
Direct
0.000 0.000 0.000 Cs
0.500 0.500 0.000 Tl
0.000 0.500 0.500 Bi
0.500 0.000 0.500 Bi
0.500 0.500 0.500 Rh
```

Summary:
M_tot (μB per atom): 0.000
Crystal system: tetragonal
Electronic total energy (eV per atom): -3.63
Formation enthalpy at 0 K (eV/f.u.): 0.190
Symmetry: P4/mmm, No. 123
D(E_F) (states/eV per atom): 1.27


[4]
DFT (GGA-PBE) results for a relaxed structure of NaFeN2Cl.

Structure (POSCAR):
```
NaFeN2Cl
1.0
3.596 0.000 0.000
0.000 3.596 0.000
0.000 0.000 5.544
Na Fe N Cl
1 1 2 1
Direct
0.000 0.000 0.000 Na
0.500 0.500 0.500 Fe
0.000 0.500 0.500 N
0.500 0.000 0.500 N
0.500 0.500 0.000 Cl
```

Summary:
M_tot (μB per atom): 0.108
Energy relative to the elements, uncorrected (meV per atom): 163.3
Crystal system: tetragonal
Electronic total energy (eV per atom): -5.49
Symmetry: P4/mmm, No. 123
D(E_F) (states/eV per atom): 0.51


[5]
DFT (GGA-PBE) results for a relaxed structure of V2FePt.

Structure (POSCAR):
```
V2FePt
1.0
0.000 3.006 3.006
3.006 0.000 3.006
3.006 3.006 0.000
V Fe Pt
2 1 1
Direct
0.250 0.250 0.250 V
0.750 0.750 0.750 V
0.000 0.000 0.000 Fe
0.500 0.500 0.500 Pt
```

Summary:
M_tot (μB per atom): 0.618
Crystal system: cubic
Electronic total energy (eV per atom): -8.31
Formation enthalpy at 0 K (eV/f.u.): -0.483
Symmetry: Fm-3m, No. 225
D(E_F) (states/eV per atom): 1.56
Relative energy among the computed polymorphs (meV/atom): 199


[6]
DFT (GGA-PBE) results for a relaxed structure of ScTl2Te.

Structure (POSCAR):
```
ScTl2Te
1.0
1.840 1.062 9.495
-1.840 1.062 9.495
0.000 -2.124 9.495
Sc Tl Te
1 2 1
Direct
0.000 0.000 0.000 Sc
0.250 0.250 0.250 Tl
0.750 0.750 0.750 Tl
0.500 0.500 0.500 Te
```

Summary:
M_tot (μB per atom): 0.000
Energy relative to the elements, uncorrected (meV per atom): 44.5
Crystal system: trigonal
Electronic total energy (eV per atom): -3.51
Symmetry: R-3m, No. 166
D(E_F) (states/eV per atom): 0.58
Relative energy among the computed polymorphs (meV/atom): 465


[7]
DFT (GGA-PBE) results for a relaxed structure of TbMoAs2.

Structure (POSCAR):
```
TbMoAs2
1.0
1.997 1.153 6.024
-1.997 1.153 6.024
0.000 -2.305 6.024
Tb Mo As
1 1 2
Direct
0.000 0.000 0.000 Tb
0.500 0.500 0.500 Mo
0.238 0.238 0.238 As
0.762 0.762 0.762 As
```

Summary:
M_tot (μB per atom): 0.471
Crystal system: trigonal
Electronic total energy (eV per atom): -6.79
Formation enthalpy at 0 K (eV/f.u.): -2.419
Symmetry: R-3m, No. 166
D(E_F) (states/eV per atom): 0.74
Relative energy among the computed polymorphs (meV/atom): 0


[8]
DFT (GGA-PBE) results for a relaxed structure of PrErH.

Structure (POSCAR):
```
PrErH
1.0
-1.727 1.727 6.116
1.727 -1.727 6.116
1.727 1.727 -6.116
Pr Er H
1 1 1
Direct
0.000 0.000 0.000 Pr
0.290 0.290 0.000 Er
0.470 0.470 0.000 H
```

Summary:
M_tot (μB per atom): 0.000
Crystal system: tetragonal
Electronic total energy (eV per atom): -4.34
Symmetry: I4mm, No. 107
D(E_F) (states/eV per atom): 0.91
Relative energy among the computed polymorphs (meV/atom): 99


[9]
DFT (GGA-PBE) results for a relaxed structure of PmRePb.

Structure (POSCAR):
```
PmRePb
1.0
4.494 0.000 0.000
0.000 4.494 0.000
0.000 0.000 7.365
Pm Re Pb
2 2 2
Direct
0.250 0.250 0.202 Pm
0.750 0.750 0.798 Pm
0.250 0.750 0.500 Re
0.750 0.250 0.500 Re
0.250 0.250 0.739 Pb
0.750 0.750 0.261 Pb
```

Summary:
M_tot (μB per atom): 0.000
Crystal system: tetragonal
Electronic total energy (eV per atom): -6.74
Formation enthalpy at 0 K (eV/f.u.): 0.681
Symmetry: P4/nmm, No. 129
D(E_F) (states/eV per atom): 1.09


[10]
DFT (GGA-PBE) results for a relaxed structure of Pm2MgSe4.

Structure (POSCAR):
```
Pm2MgSe4
1.0
7.688 0.000 0.000
-0.469 9.082 0.000
-1.572 -2.961 12.635
Pm Mg Se
8 4 16
Direct
0.100 0.353 0.273 Pm
0.150 0.954 0.366 Pm
0.254 0.111 0.982 Pm
0.377 0.319 0.653 Pm
0.623 0.681 0.347 Pm
0.746 0.889 0.018 Pm
0.850 0.046 0.634 Pm
0.900 0.647 0.727 Pm
0.275 0.576 0.984 Mg
0.372 0.804 0.689 Mg
0.628 0.196 0.311 Mg
0.725 0.424 0.016 Mg
0.076 0.378 0.064 Se
0.087 0.019 0.159 Se
0.181 0.559 0.617 Se
0.211 0.013 0.606 Se
0.258 0.661 0.340 Se
0.358 0.237 0.413 Se
0.396 0.819 0.890 Se
0.421 0.336 0.878 Se
0.579 0.664 0.122 Se
0.604 0.181 0.110 Se
0.642 0.763 0.587 Se
0.742 0.339 0.660 Se
0.789 0.987 0.394 Se
0.819 0.441 0.383 Se
0.913 0.981 0.841 Se
0.924 0.622 0.936 Se
```

Summary:
M_tot (μB per atom): 0.000
Energy relative to the elements, uncorrected (meV per atom): -1537.8
Crystal system: triclinic
Electronic total energy (eV per atom): -5.11
Symmetry: P-1, No. 2
D(E_F) (states/eV per atom): 0.00
Relative energy among the computed polymorphs (meV/atom): 137


[11]
DFT (GGA-PBE) results for a relaxed structure of LaCrFe2Sn.

Structure (POSCAR):
```
LaCrFe2Sn
1.0
4.804 0.000 0.000
0.000 4.804 0.000
0.000 0.000 5.863
La Cr Fe Sn
1 1 2 1
Direct
0.000 0.000 0.000 La
0.500 0.500 0.000 Cr
0.000 0.500 0.500 Fe
0.500 0.000 0.500 Fe
0.000 0.000 0.500 Sn
```

Summary:
M_tot (μB per atom): 1.164
Crystal system: tetragonal
Electronic total energy (eV per atom): -5.44
Formation enthalpy at 0 K (eV/f.u.): 8.268
Symmetry: P4/mmm, No. 123
D(E_F) (states/eV per atom): 1.84


[12]
DFT (GGA-PBE) results for a relaxed structure of CaSbTe2Se.

Structure (POSCAR):
```
CaSbTe2Se
1.0
5.499 0.000 0.000
0.000 5.499 0.000
0.000 0.000 5.463
Ca Sb Te Se
1 1 2 1
Direct
0.000 0.000 0.000 Ca
0.500 0.500 0.000 Sb
0.000 0.500 0.500 Te
0.500 0.000 0.500 Te
0.500 0.500 0.500 Se
```

Summary:
M_tot (μB per atom): 0.000
Energy relative to the elements, uncorrected (meV per atom): -102.6
Crystal system: tetragonal
Electronic total energy (eV per atom): -3.28
Symmetry: P4/mmm, No. 123
D(E_F) (states/eV per atom): 1.25
Relative energy among the computed polymorphs (meV/atom): 0


[13]
DFT (GGA-PBE) results for a relaxed structure of SrCdFe.

Structure (POSCAR):
```
SrCdFe
1.0
4.650 0.000 0.000
-2.325 4.027 0.000
0.000 0.000 4.307
Sr Cd Fe
1 1 1
Direct
0.000 0.000 0.000 Sr
0.333 0.667 0.500 Cd
0.667 0.333 0.500 Fe
```

Summary:
M_tot (μB per atom): 0.788
Crystal system: hexagonal
Electronic total energy (eV per atom): -3.34
Formation enthalpy at 0 K (eV/f.u.): 1.028
Symmetry: P-6m2, No. 187
D(E_F) (states/eV per atom): 1.66


[14]
DFT (GGA-PBE) results for a relaxed structure of CsLiCu2Cl8.

Structure (POSCAR):
```
CsLiCu2Cl8
1.0
3.230 1.865 9.195
-3.230 1.865 9.195
0.000 -3.730 9.195
Cs Li Cu Cl
1 1 2 8
Direct
0.000 0.000 0.000 Cs
0.500 0.500 0.500 Li
0.243 0.243 0.243 Cu
0.757 0.757 0.757 Cu
0.117 0.457 0.757 Cl
0.243 0.883 0.543 Cl
0.323 0.323 0.323 Cl
0.457 0.757 0.117 Cl
0.543 0.243 0.883 Cl
0.677 0.677 0.677 Cl
0.757 0.117 0.457 Cl
0.883 0.543 0.243 Cl
```

Summary:
M_tot (μB per atom): 0.342
Energy relative to the elements, uncorrected (meV per atom): -775.3
Crystal system: trigonal
Electronic total energy (eV per atom): -2.92
Symmetry: R-3, No. 148
D(E_F) (states/eV per atom): 0.79


[15]
DFT (GGA-PBE) results for a relaxed structure of Cu2Pb.

Structure (POSCAR):
```
Cu2Pb
1.0
0.000 3.121 3.121
3.121 0.000 3.121
3.121 3.121 0.000
Cu Pb
2 1
Direct
0.250 0.250 0.250 Cu
0.750 0.750 0.750 Cu
0.000 0.000 0.000 Pb
```

Summary:
M_tot (μB per atom): 0.000
Crystal system: cubic
Electronic total energy (eV per atom): -3.49
Formation enthalpy at 0 K (eV/f.u.): 1.431
Symmetry: Fm-3m, No. 225
D(E_F) (states/eV per atom): 0.78


[16]
DFT (GGA-PBE) results for a relaxed structure of Hf2ZnB2Ru5.

Structure (POSCAR):
```
Hf2ZnB2Ru5
1.0
9.324 0.000 0.000
0.000 9.324 0.000
0.000 0.000 3.095
Hf Zn B Ru
4 2 4 10
Direct
0.175 0.325 0.000 Hf
0.325 0.825 0.000 Hf
0.675 0.175 0.000 Hf
0.825 0.675 0.000 Hf
0.000 0.000 0.000 Zn
0.500 0.500 0.000 Zn
0.126 0.626 0.000 B
0.374 0.126 0.000 B
0.626 0.874 0.000 B
0.874 0.374 0.000 B
0.000 0.500 0.500 Ru
0.072 0.784 0.500 Ru
0.216 0.072 0.500 Ru
0.284 0.572 0.500 Ru
0.428 0.284 0.500 Ru
0.500 0.000 0.500 Ru
0.572 0.716 0.500 Ru
0.716 0.428 0.500 Ru
0.784 0.928 0.500 Ru
0.928 0.216 0.500 Ru
```

Summary:
M_tot (μB per atom): 0.000
Crystal system: tetragonal
Electronic total energy (eV per atom): -8.65
Formation enthalpy at 0 K (eV/f.u.): -5.616
Symmetry: P4/mbm, No. 127
D(E_F) (states/eV per atom): 0.92


[17]
DFT (GGA-PBE) results for a relaxed structure of LiCaY2C.

Structure (POSCAR):
```
LiCaY2C
1.0
4.928 0.000 0.000
0.000 4.928 0.000
0.000 0.000 5.298
Li Ca Y C
1 1 2 1
Direct
0.000 0.000 0.000 Li
0.500 0.500 0.000 Ca
0.000 0.500 0.500 Y
0.500 0.000 0.500 Y
0.500 0.500 0.500 C
```

Summary:
M_tot (μB per atom): 0.000
Crystal system: tetragonal
Electronic total energy (eV per atom): -5.21
Formation enthalpy at 0 K (eV/f.u.): 0.020
Symmetry: P4/mmm, No. 123
D(E_F) (states/eV per atom): 0.81


[18]
DFT (GGA-PBE) results for a relaxed structure of NaHf3Al.

Structure (POSCAR):
```
NaHf3Al
1.0
5.105 0.000 0.000
0.000 5.105 0.000
0.000 0.000 5.105
Na Hf Al
1 3 1
Direct
0.000 0.000 0.000 Na
0.000 0.500 0.500 Hf
0.500 0.000 0.500 Hf
0.500 0.500 0.000 Hf
0.500 0.500 0.500 Al
```

Summary:
M_tot (μB per atom): 0.000
Crystal system: cubic
Electronic total energy (eV per atom): -6.04
Formation enthalpy at 0 K (eV/f.u.): 4.722
Symmetry: Pm-3m, No. 221
D(E_F) (states/eV per atom): 2.23
Relative energy among the computed polymorphs (meV/atom): 0


[19]
DFT (GGA-PBE) results for a relaxed structure of EuCdGe4.

Structure (POSCAR):
```
EuCdGe4
1.0
0.000 4.021 4.021
4.021 0.000 4.021
4.021 4.021 0.000
Eu Cd Ge
1 1 4
Direct
0.000 0.000 0.000 Eu
0.250 0.250 0.250 Cd
0.127 0.624 0.624 Ge
0.624 0.127 0.624 Ge
0.624 0.624 0.127 Ge
0.624 0.624 0.624 Ge
```

Summary:
M_tot (μB per atom): 1.114
Crystal system: cubic
Electronic total energy (eV per atom): -5.09
Formation enthalpy at 0 K (eV/f.u.): -0.871
Symmetry: F-43m, No. 216
D(E_F) (states/eV per atom): 1.38


[20]
DFT (GGA-PBE) results for a relaxed structure of La2Tb5Th3.

Structure (POSCAR):
```
La2Tb5Th3
1.0
9.157 -1.753 0.000
9.157 1.753 0.000
-3.303 0.000 10.388
La Tb Th
2 5 3
Direct
0.191 0.191 0.102 La
0.809 0.809 0.898 La
0.200 0.200 0.593 Tb
0.400 0.400 0.223 Tb
0.500 0.500 0.000 Tb
0.600 0.600 0.777 Tb
0.800 0.800 0.407 Tb
0.000 0.000 0.500 Th
0.402 0.402 0.689 Th
0.598 0.598 0.311 Th
```

Summary:
M_tot (μB per atom): 0.000
Crystal system: monoclinic
Electronic total energy (eV per atom): -5.42
Formation enthalpy at 0 K (eV/f.u.): 1.084
Symmetry: C2/m, No. 12
D(E_F) (states/eV per atom): 1.50


[21]
DFT (GGA-PBE) results for a relaxed structure of VAg2Te5.

Structure (POSCAR):
```
VAg2Te5
1.0
5.949 0.000 0.000
1.679 6.878 0.000
1.190 3.327 6.436
V Ag Te
1 2 5
Direct
0.000 0.000 0.000 V
0.317 0.323 0.009 Ag
0.962 0.286 0.359 Ag
0.218 0.891 0.336 Te
0.278 0.216 0.682 Te
0.673 0.035 0.296 Te
0.735 0.341 0.705 Te
0.958 0.673 0.974 Te
```

Summary:
M_tot (μB per atom): 0.111
Energy relative to the elements, uncorrected (meV per atom): 3.5
Crystal system: triclinic
Electronic total energy (eV per atom): -3.81
Symmetry: P1, No. 1
D(E_F) (states/eV per atom): 0.31


[22]
DFT (GGA-PBE) results for a relaxed structure of TaMnH3.

Structure (POSCAR):
```
TaMnH3
1.0
3.312 0.000 0.000
0.000 3.312 0.000
0.000 0.000 3.312
Ta Mn H
1 1 3
Direct
0.000 0.000 0.000 Ta
0.500 0.500 0.500 Mn
0.000 0.500 0.500 H
0.500 0.000 0.500 H
0.500 0.500 0.000 H
```

Summary:
M_tot (μB per atom): 0.391
Crystal system: cubic
Electronic total energy (eV per atom): -6.13
Symmetry: Pm-3m, No. 221
D(E_F) (states/eV per atom): 0.47


[23]
DFT (GGA-PBE) results for a relaxed structure of MgZrAu2.

Structure (POSCAR):
```
MgZrAu2
1.0
-2.305 2.305 3.496
2.305 -2.305 3.496
2.305 2.305 -3.496
Mg Zr Au
1 1 2
Direct
0.000 0.000 0.000 Mg
0.250 0.750 0.500 Zr
0.500 0.500 0.000 Au
0.750 0.250 0.500 Au
```

Summary:
M_tot (μB per atom): 0.000
Crystal system: tetragonal
Electronic total energy (eV per atom): -4.56
Formation enthalpy at 0 K (eV/f.u.): -1.539
Symmetry: I-4m2, No. 119
D(E_F) (states/eV per atom): 0.27


[24]
DFT (GGA-PBE) results for a relaxed structure of ErLuCoGe.

Structure (POSCAR):
```
ErLuCoGe
1.0
0.000 3.412 3.412
3.412 0.000 3.412
3.412 3.412 0.000
Er Lu Co Ge
1 1 1 1
Direct
0.000 0.000 0.000 Er
0.500 0.500 0.500 Lu
0.250 0.250 0.250 Co
0.750 0.750 0.750 Ge
```

Summary:
M_tot (μB per atom): 0.187
Crystal system: cubic
Electronic total energy (eV per atom): -5.63
Formation enthalpy at 0 K (eV/f.u.): -1.698
Symmetry: F-43m, No. 216
D(E_F) (states/eV per atom): 0.53


[25]
DFT (GGA-PBE) results for a relaxed structure of Sc4HgMo.

Structure (POSCAR):
```
Sc4HgMo
1.0
0.000 3.964 3.964
3.964 0.000 3.964
3.964 3.964 0.000
Sc Hg Mo
4 1 1
Direct
0.376 0.376 0.376 Sc
0.376 0.376 0.872 Sc
0.376 0.872 0.376 Sc
0.872 0.376 0.376 Sc
0.000 0.000 0.000 Hg
0.750 0.750 0.750 Mo
```

Summary:
M_tot (μB per atom): 0.000
Crystal system: cubic
Electronic total energy (eV per atom): -5.63
Formation enthalpy at 0 K (eV/f.u.): 2.656
Symmetry: F-43m, No. 216
D(E_F) (states/eV per atom): 0.78


[26]
DFT (GGA-PBE) results for a relaxed structure of NiIrPt2.

Structure (POSCAR):
```
NiIrPt2
1.0
2.713 -4.722 0.000
2.713 4.722 0.000
0.000 0.000 4.497
Ni Ir Pt
2 2 4
Direct
0.168 0.832 0.750 Ni
0.832 0.168 0.250 Ni
0.333 0.667 0.250 Ir
0.667 0.333 0.750 Ir
0.162 0.336 0.750 Pt
0.336 0.162 0.250 Pt
0.664 0.838 0.750 Pt
0.838 0.664 0.250 Pt
```

Summary:
M_tot (μB per atom): 0.327
Crystal system: orthorhombic
Electronic total energy (eV per atom): -6.61
Formation enthalpy at 0 K (eV/f.u.): 0.265
Symmetry: Cmcm, No. 63
D(E_F) (states/eV per atom): 1.57
Relative energy among the computed polymorphs (meV/atom): 90


For the records above, the corresponding V values read 22.6, 32.1, 34.0, 14.3, 13.6, 27.8, 20.8, 24.3, 24.8, 31.5, 27.1, 33.0, 26.9, 27.7, 20.3, 13.5, 25.7, 26.6, 21.7, 33.4, 32.9, 7.3, 18.6, 19.9, 20.8, 14.4 Å³/atom.